No. 1
Entry from the Alexandria database: a relaxed BaAl2Rh crystal (GGA-PBE).

The structure in extended XYZ format:
```
4
Lattice="-1.227 -3.351 -2.256 3.667 -0.828 -0.764 2.094 -4.080 4.921" Properties=species:S:1:pos:R:3 pbc="T T T"
Al 0.558 -2.253 -0.908
Ba 3.114 -2.668 2.268
Rh 4.420 -5.867 2.359
Al 2.990 -0.755 -0.505
```

Results
Energy of formation from the pure elements (eV/atom): -0.293
Density of states at the Fermi level (states/eV per cell): 2.27


No. 2
Entry from the Alexandria database: a relaxed Ac2Sm3Y8 crystal (GGA-PBE).

The structure in extended XYZ format:
```
13
Lattice="5.549 0.000 0.757 0.000 7.831 0.000 -1.466 -3.916 10.720" Properties=species:S:1:pos:R:3 pbc="T T T"
Ac 2.068 0.000 5.514
Ac 2.015 3.916 5.963
Y 1.609 -1.658 8.891
Sm 0.000 5.521 0.000
Sm 0.000 2.310 0.000
Y 1.609 1.658 8.891
Y 2.474 5.574 2.586
Y -0.450 3.916 3.311
Y 5.196 0.000 3.336
Sm 2.775 0.000 0.379
Y 2.474 2.258 2.586
Y 4.533 0.000 8.166
Y -1.113 3.916 8.141
```

Results
Energy of formation from the pure elements (eV/atom): 0.245
Relative energy among the computed polymorphs (eV per formula unit): 0.681
Density of states at the Fermi level (states/eV per cell): 23.41


No. 3
Entry from the Alexandria database: a relaxed Zn5Hg4 crystal (GGA-PBE).

The structure in extended XYZ format:
```
9
Lattice="5.515 3.691 1.262 -4.801 -3.729 2.946 3.293 -5.207 -2.771" Properties=species:S:1:pos:R:3 pbc="T T T"
Zn -1.281 -1.197 2.372
Hg -0.475 -2.812 0.055
Zn 0.000 0.000 0.000
Zn 1.995 1.159 1.837
Hg 6.036 -1.039 -1.034
Zn 1.516 -1.678 1.893
Zn 2.491 -3.567 -0.455
Hg -1.034 -6.124 0.120
Hg 2.772 -0.477 -0.475
```

Results
Energy of formation from the pure elements (eV/atom): 0.128
Relative energy among the computed polymorphs (eV per formula unit): 0.000
Density of states at the Fermi level (states/eV per cell): 2.71


No. 4
Entry from the Alexandria database: a relaxed La5Bi2 crystal (GGA-PBE).

The structure in extended XYZ format:
```
14
Lattice="6.349 0.000 0.000 0.000 9.198 0.365 -3.174 -0.996 8.265" Properties=species:S:1:pos:R:3 pbc="T T T"
La 4.549 2.300 0.091
La -0.626 5.777 4.805
Bi 1.226 7.574 7.066
La 2.044 4.317 6.575
La 1.130 3.885 2.054
La 2.548 7.025 4.007
La 0.626 1.178 4.623
La 5.219 8.484 2.237
La -2.044 -0.282 6.393
Bi 4.400 5.228 1.746
Bi -1.226 2.974 6.884
La 3.800 2.426 3.825
Bi 1.948 0.629 1.564
La 1.799 6.899 0.274
```

Results
Energy of formation from the pure elements (eV/atom): -0.546
Density of states at the Fermi level (states/eV per cell): 17.40